# Sr2TiMnO6 | Alexandria | GGA+U | relaxed
# Density   5.25 g/cm3
# Space-group type   No. 225
# Final energy   -74.52 eV per cell
# ΔE to the lowest computed polymorph   0.0 kJ per mole of atoms
data_Sr2TiMnO6
_chemical_formula_sum 'Sr2 Ti1 Mn1 O6'
_cell_length_a 5.510
_cell_length_b 5.510
_cell_length_c 5.510
_cell_angle_alpha 60.00
_cell_angle_beta 60.00
_cell_angle_gamma 60.00
_symmetry_space_group_name_H-M 'P 1'
_symmetry_Int_Tables_number 1
_symmetry_space_group_name_Hall 'P 1'
loop_
_atom_site_label
_atom_site_type_symbol
_atom_site_fract_x
_atom_site_fract_y
_atom_site_fract_z
_atom_site_occupancy
Sr1 Sr 0.750 0.750 0.750 1
Sr2 Sr 0.250 0.250 0.250 1
Ti1 Ti 0.000 0.000 0.000 1
Mn1 Mn 0.500 0.500 0.500 1
O1 O 0.253 0.253 0.747 1
O2 O 0.747 0.747 0.253 1
O3 O 0.253 0.747 0.253 1
O4 O 0.747 0.253 0.747 1
O5 O 0.253 0.747 0.747 1
O6 O 0.747 0.253 0.253 1